Below is PRhSeCl2 after structural relaxation, with properties calculated at the PBE level.

POSCAR file:
```
PRhSeCl2
1.0
4.723 0.000 0.000
0.000 4.723 0.000
0.000 0.000 4.712
P Rh Se Cl
1 1 1 2
Cartesian
0.000 0.000 2.356
0.000 0.000 0.000
2.362 2.362 2.356
0.000 2.362 0.000
2.362 0.000 0.000
```

The density of states at the Fermi level comes out at 0.78 states/eV per atom. The space group is No. 123. The energy is -3.640 eV per atom.